{
  "formula": "TmFeB2",
  "functional": "PBE",
  "state": "relaxed",
  "cell": [[5.7633, 0.0000, 0.0000], [0.0000, 3.4427, 0.0000], [0.0000, 0.0000, 9.1663]],
  "species": ["Tm", "Tm", "Tm", "Tm", "Fe", "Fe", "Fe", "Fe", "B", "B", "B", "B", "B", "B", "B", "B"],
  "fractional_positions": [[0.1166, 0.2500, 0.1366], [0.3834, 0.7500, 0.6366], [0.6166, 0.2500, 0.3634], [0.8834, 0.7500, 0.8634], [0.1141, 0.2500, 0.4385], [0.3859, 0.7500, 0.9385], [0.6141, 0.2500, 0.0615], [0.8859, 0.7500, 0.5615], [0.0313, 0.2500, 0.6639], [0.2283, 0.2500, 0.8341], [0.2717, 0.7500, 0.3341], [0.4687, 0.7500, 0.1639], [0.5313, 0.2500, 0.8361], [0.7283, 0.2500, 0.6659], [0.7717, 0.7500, 0.1659], [0.9687, 0.7500, 0.3361]],
  "spacegroup": "No. 62",
  "e_above_lowest_polymorph_mev_per_atom": 0.0,
  "e_form_ev_per_atom": -0.500,
  "total_magnetization_mub_per_atom": 0.06,
  "energy_ev_per_atom": -7.073,
  "mass_density_g_cm3": 9.00
}